(a)
Density functional theory data (GGA-PBE) for a relaxed structure of TaOs2Pt.

abc: 2.7845 2.7845 8.0227
angles: 90.00 90.00 90.01
Last column: nearest neighbours and their distance in Å.
Sites, in units of the cell vectors:
Os 0.0000 0.0000 0.4963  4 Os 2.78, 4 Pt 2.79, 4 Ta 2.83
Os 0.0000 0.0000 0.0037  4 Os 2.78, 4 Pt 2.79, 4 Ta 2.83
Pt 0.5000 0.5000 0.2500  4 Pt 2.78, 8 Os 2.79
Ta 0.5000 0.5000 0.7500  4 Ta 2.78, 8 Os 2.83

Calculated values
DOS(E_F)	4.58	states/eV/cell
total moment	0.000	Bohr magnetons per cell
V	62	Å³/cell



(b)
Density functional theory data (GGA-PBE) for a relaxed structure of TaOs2Pt.

abc: 2.8290 4.8246 5.5565
angles: 54.21 90.00 90.00
Last column: nearest neighbours and their distance in Å.
Sites, in units of the cell vectors:
Os 0.0000 0.0000 0.0000  4 Pt 2.78, 2 Ta 2.78, 6 Os 2.80-2.83
Os 0.5000 0.5000 0.0000  4 Ta 2.78, 2 Pt 2.78, 6 Os 2.80-2.83
Ta 0.0000 0.0000 0.5000  6 Os 2.78, 4 Pt 2.80, 2 Ta 2.83
Pt 0.5000 0.5000 0.5000  6 Os 2.78, 4 Ta 2.80, 2 Pt 2.83

Calculated values
DOS(E_F)	2.47	states/eV/cell
total moment	0.000	Bohr magnetons per cell
V	62	Å³/cell



Verdict on stability: (a) comes out at the bottom.